No. 1
Below is a relaxed Sc2ZnOs2 crystal, with properties calculated at the GGA-PBE level.

a = 6.6036 Å, b = 6.6036 Å, c = 4.1320 Å
α = 90.00°, β = 90.00°, γ = 90.00°
Closest atoms and distances in Å follow each position.
Fractional coordinates of all 10 atoms:
Os: 0.1306 0.3694 0.0000  1 Os 2.44, 2 Zn 2.59
Sc: 0.8247 0.3247 0.5000  6 Os 2.75-2.90
Os: 0.8694 0.6306 0.0000  1 Os 2.44, 2 Zn 2.59
Os: 0.6306 0.1306 0.0000  1 Os 2.44, 2 Zn 2.59
Zn: 0.5000 0.5000 0.0000  4 Os 2.59
Zn: 0.0000 0.0000 0.0000  4 Os 2.59
Os: 0.3694 0.8694 0.0000  1 Os 2.44, 2 Zn 2.59
Sc: 0.3247 0.1753 0.5000  6 Os 2.75-2.90
Sc: 0.1753 0.6753 0.5000  6 Os 2.75-2.90
Sc: 0.6753 0.8247 0.5000  6 Os 2.75-2.90

Summary:
The formation energy comes out at -18.5 kJ per mole of atoms. As for the crystal system: tetragonal. Its density of states at the Fermi level is 4.44 states/eV/f.u. The calculation puts the spin magnetization at 0.000 μB/f.u.

***

No. 2
Below is a relaxed ZrScZnOs crystal, with properties calculated at the GGA-PBE level.

a = 4.6587 Å, b = 4.6587 Å, c = 4.6587 Å
α = 60.00°, β = 60.00°, γ = 60.00°
Closest atoms and distances in Å follow each position.
Fractional coordinates of all 4 atoms:
Zn: 0.0000 0.0000 0.0000  4 Zr 2.85, 4 Sc 2.85
Os: 0.5000 0.5000 0.5000  4 Sc 2.85, 4 Zr 2.85
Sc: 0.2500 0.2500 0.2500  4 Zn 2.85, 4 Os 2.85
Zr: 0.7500 0.7500 0.7500  4 Os 2.85, 4 Zn 2.85

Summary:
The formation energy comes out at -39.9 kJ per mole of atoms. As for the crystal system: cubic. Its density of states at the Fermi level is 2.38 states/eV/f.u. The calculation puts the spin magnetization at 0.000 μB/f.u.

***

No. 3
Below is a relaxed ZrScZnOs crystal, with properties calculated at the GGA-PBE level.

a = 3.2908 Å, b = 3.2908 Å, c = 6.6697 Å
α = 90.00°, β = 90.00°, γ = 90.00°
Closest atoms and distances in Å follow each position.
Fractional coordinates of all 4 atoms:
Sc: 0.0000 0.0000 0.8642  4 Os 2.85, 4 Zn 2.88
Os: 0.5000 0.5000 0.1098  4 Zr 2.80, 4 Sc 2.85
Zn: 0.5000 0.5000 0.6106  4 Sc 2.88, 4 Zr 2.93
Zr: 0.0000 0.0000 0.3433  4 Os 2.80, 4 Zn 2.93

Summary:
The formation energy comes out at -41.8 kJ per mole of atoms. As for the crystal system: tetragonal. Its density of states at the Fermi level is 2.65 states/eV/f.u. The calculation puts the spin magnetization at 0.000 μB/f.u.

***

No. 4
Below is a relaxed ZrSc2Os crystal, with properties calculated at the GGA-PBE level.

a = 3.2795 Å, b = 3.2795 Å, c = 7.7233 Å
α = 90.00°, β = 90.00°, γ = 90.00°
Closest atoms and distances in Å follow each position.
Fractional coordinates of all 4 atoms:
Os: 0.5000 0.5000 0.7475  4 Sc 2.79, 4 Zr 2.83
Zr: 0.0000 0.0000 0.5378  4 Os 2.83, 5 Sc 3.12-3.17
Sc: 0.0000 0.0000 0.9477  4 Os 2.79
Sc: 0.5000 0.5000 0.2671  4 Zr 3.12, 8 Sc 3.28-3.39

Summary:
The formation energy comes out at -21.5 kJ per mole of atoms. As for the crystal system: tetragonal. Its density of states at the Fermi level is 5.88 states/eV/f.u. The calculation puts the spin magnetization at 0.190 μB/f.u.